Below is a relaxed VCr2Ru crystal, with properties calculated at the PBE level.

Unit cell a=4.261 b=3.483 c=3.483 alpha=90.00 beta=90.00 gamma=90.00
Atoms (fractional coordinates):
Cr  0.000  0.000  0.500
V  0.500  0.500  0.500
Cr  0.000  0.500  0.000
Ru  0.500  0.000  0.000

Results
The spin magnetization comes out at 0.00 μB/cell. As for the relative energy among the computed polymorphs: 0.62 eV per formula unit. The formation energy comes out at 0.128 eV per atom. For the volume, the calculation gives 12.9 Å³ per atom.

---

Below is a relaxed Cd3RuBr crystal, with properties calculated at the PBE level.

Unit cell a=5.265 b=5.265 c=5.265 alpha=90.00 beta=90.00 gamma=90.00
Atoms (fractional coordinates):
Cd  0.000  0.000  0.500
Br  0.000  0.000  0.000
Ru  0.500  0.500  0.500
Cd  0.000  0.500  0.000
Cd  0.500  0.000  0.000

Results
The spin magnetization comes out at 0.00 μB/cell. As for the relative energy among the computed polymorphs: 4.78 eV per formula unit. The uncorrected formation energy is 1431 meV per atom. For the volume, the calculation gives 29.2 Å³ per atom.

---

Below is a relaxed PrThPa crystal, with properties calculated at the PBE level.

Unit cell a=6.460 b=6.516 c=10.910 alpha=81.56 beta=72.78 gamma=60.29
Atoms (fractional coordinates):
Pa  0.914  0.171  0.500
Pa  0.164  0.671  0.000
Pr  0.173  0.500  0.654
Pa  0.586  0.829  0.500
Th  0.874  0.000  0.251
Pr  0.577  0.000  0.846
Pa  0.836  0.329  0.000
Pr  0.423  0.000  0.154
Th  0.126  0.000  0.749
Th  0.624  0.500  0.751
Th  0.876  0.500  0.249
Pr  0.327  0.500  0.346

Results
The spin magnetization comes out at 0.00 μB/cell. As for the relative energy among the computed polymorphs: 0.84 eV per formula unit. The formation energy comes out at 0.453 eV per atom. For the volume, the calculation gives 31.7 Å³ per atom.

---

Below is a relaxed TbPrHo2 crystal, with properties calculated at the PBE level.

Unit cell a=5.705 b=5.705 c=5.705 alpha=60.00 beta=60.00 gamma=60.00
Atoms (fractional coordinates):
Ho  0.750  0.750  0.750
Pr  0.500  0.500  0.500
Tb  0.000  0.000  0.000
Ho  0.250  0.250  0.250

Results
The spin magnetization comes out at 0.00 μB/cell. As for the relative energy among the computed polymorphs: 0.50 eV per formula unit. The formation energy comes out at 0.124 eV per atom. For the volume, the calculation gives 32.8 Å³ per atom.

---

Below is a relaxed LaBr2N crystal, with properties calculated at the PBE level.

Unit cell a=10.737 b=10.737 c=10.737 alpha=24.38 beta=24.38 gamma=24.38
Last column: magnetic moment on the atom in μB.
Atoms (fractional coordinates):
Br  0.087  0.087  0.087  0.01
N  0.500  0.500  0.500  1.93
La  0.000  0.000  0.000  0.18
Br  0.913  0.913  0.913  0.01

Results
The spin magnetization comes out at 3.59 μB/cell. As for the relative energy among the computed polymorphs: 3.28 eV per formula unit. The uncorrected formation energy is 553 meV per atom. For the volume, the calculation gives 46.4 Å³ per atom.

---

Below is a relaxed Er8Ge3TeSe4 crystal, with properties calculated at the PBE level.

Unit cell a=8.260 b=8.231 c=8.260 alpha=120.12 beta=120.00 gamma=90.00
Atoms (fractional coordinates):
Er  0.745  0.736  0.490
Ge  0.000  0.500  0.500
Er  0.255  0.264  0.510
Se  0.000  0.000  0.000
Te  0.000  0.500  0.000
Er  0.744  0.257  0.013
Se  0.500  0.000  0.000
Er  0.256  0.743  0.987
Er  0.731  0.743  0.987
Er  0.269  0.257  0.013
Se  0.500  0.000  0.500
Se  0.000  0.000  0.500
Ge  0.500  0.500  0.000
Ge  0.500  0.500  0.500
Er  0.256  0.743  0.511
Er  0.744  0.257  0.489

Results
The spin magnetization comes out at 0.00 μB/cell. The uncorrected formation energy is -1419 meV per atom. For the volume, the calculation gives 24.8 Å³ per atom.

---

Below is a relaxed KSrGaHg2 crystal, with properties calculated at the PBE level.

Unit cell a=5.534 b=5.967 c=5.534 alpha=90.00 beta=90.00 gamma=90.00
Atoms (fractional coordinates):
Hg  0.500  0.000  0.000
K  0.500  0.500  0.500
Hg  0.000  0.000  0.500
Sr  0.000  0.500  0.000
Ga  0.000  0.000  0.000

Results
The spin magnetization comes out at 0.00 μB/cell. The formation energy comes out at -0.021 eV per atom. For the volume, the calculation gives 36.5 Å³ per atom.

---

Below is a relaxed KBe2OsRh crystal, with properties calculated at the PBE level.

Unit cell a=4.519 b=4.764 c=4.519 alpha=90.00 beta=90.00 gamma=90.00
Atoms (fractional coordinates):
K  0.500  0.500  0.500
Rh  0.000  0.500  0.000
Be  0.000  0.000  0.500
Be  0.500  0.000  0.000
Os  0.000  0.000  0.000

Results
The spin magnetization comes out at 0.00 μB/cell. The formation energy comes out at 0.796 eV per atom. For the volume, the calculation gives 19.5 Å³ per atom.

---

Below is a relaxed Tb3Sm6DyTh2 crystal, with properties calculated at the PBE level.

Unit cell a=6.224 b=6.224 c=11.956 alpha=94.99 beta=94.99 gamma=119.93
Atoms (fractional coordinates):
Sm  0.746  0.746  0.248
Sm  0.083  0.419  0.247
Tb  0.167  0.833  0.500
Th  0.666  0.334  0.000
Dy  0.000  0.000  0.000
Sm  0.254  0.254  0.752
Tb  0.500  0.500  0.500
Sm  0.581  0.917  0.753
Th  0.334  0.666  0.000
Sm  0.419  0.083  0.247
Tb  0.833  0.167  0.500
Sm  0.917  0.581  0.753

Results
The spin magnetization comes out at 0.00 μB/cell. The formation energy comes out at 0.033 eV per atom. For the volume, the calculation gives 32.9 Å³ per atom.

---

Below is a relaxed RbSeBr3 crystal, with properties calculated at the PBE level.

Unit cell a=4.011 b=10.120 c=10.120 alpha=136.84 beta=90.00 gamma=90.00
Last column: magnetic moment on the atom in μB.
Atoms (fractional coordinates):
Br  0.500  0.672  0.803  -0.01
Br  0.500  0.197  0.328  -0.01
Se  0.000  0.438  0.562  -0.04
Br  0.000  0.225  0.775  0.16
Rb  0.500  0.096  0.904  0.00

Results
The spin magnetization comes out at 0.12 μB/cell. The uncorrected formation energy is -451 meV per atom. For the volume, the calculation gives 56.2 Å³ per atom.

---

Below is a relaxed MgNb2 crystal, with properties calculated at the PBE level.

Unit cell a=7.655 b=7.502 c=2.859 alpha=82.15 beta=76.13 gamma=21.71
Atoms (fractional coordinates):
Nb  0.673  0.673  0.327
Nb  0.327  0.327  0.673
Mg  0.000  0.000  0.000

Results
The spin magnetization comes out at 0.00 μB/cell. As for the relative energy among the computed polymorphs: 0.00 eV per formula unit. The formation energy comes out at 0.110 eV per atom. For the volume, the calculation gives 19.1 Å³ per atom.

---

Below is a relaxed Hf3MoSe crystal, with properties calculated at the PBE level.

Unit cell a=5.023 b=5.023 c=5.023 alpha=90.00 beta=90.00 gamma=90.00
Atoms (fractional coordinates):
Hf  0.000  0.000  0.500
Se  0.500  0.500  0.500
Mo  0.000  0.000  0.000
Hf  0.500  0.000  0.000
Hf  0.000  0.500  0.000

Results
The spin magnetization comes out at 0.00 μB/cell. As for the relative energy among the computed polymorphs: 1.07 eV per formula unit. The uncorrected formation energy is 695 meV per atom. For the volume, the calculation gives 25.3 Å³ per atom.